Entry 1:
VASP calculation (PBE-GGA) on an optimized crystal structure of LiNi2B.

The space group is R3m (No. 160, hexagonal axes) and the conventional cell measures 2.9800, 2.9800 and 17.9353 Å, with angles of 90.00, 90.00 and 120.00 degrees. The inequivalent atoms are Li at (0.0000, 0.0000, 0.0000), Ni at (0.0000, 0.0000, 0.5508), Ni at (0.0000, 0.0000, 0.7789) and B at (0.0000, 0.0000, 0.1647).

As for the calculated formation energy: -0.110 eV/atom. The value obtained for the electronic total energy is -61.785 eV for the cell shown.

Entry 2:
VASP calculation (PBE-GGA) on an optimized crystal structure of SiClO.

The space group is P3m1 (No. 156) and the conventional cell measures 3.1738, 3.1738 and 6.1044 Å, with angles of 90.00, 90.00 and 120.00 degrees. The inequivalent atoms are Si at (0.0000, 0.0000, 0.0000), Cl at (0.3333, 0.6667, 0.7198) and O at (0.6667, 0.3333, 0.1036).

Its uncorrected formation energy is -83.2 kJ/mol of atoms. The value obtained for the electronic total energy is -14.815 eV for the cell shown. The energy above the most stable polymorph in this dataset is 0.316 eV/atom.

Entry 3:
VASP calculation (PBE-GGA) on an optimized crystal structure of Nd2Sn9Pb.

The space group is P4/mmm (No. 123) and the conventional cell measures 4.695, 4.695 and 15.181 Å, with angles of 90.00, 90.00 and 90.00 degrees. The inequivalent atoms are Nd at (0.000, 0.000, 0.153), Sn at (0.000, 0.500, 0.000), Sn at (0.000, 0.500, 0.329), Sn at (0.500, 0.500, 0.167), Sn at (0.500, 0.500, 0.500) and Pb at (0.000, 0.000, 0.500).

As for the calculated formation energy: -0.300 eV/atom. The value obtained for the electronic total energy is -52.872 eV for the cell shown.

Entry 4:
VASP calculation (PBE-GGA) on an optimized crystal structure of Np2CuCl8.

The space group is Cm (No. 8) and the conventional cell measures 8.671, 12.744 and 5.371 Å, with angles of 90.00, 100.73 and 90.00 degrees. The inequivalent atoms are Np at (0.000, 0.173, 0.000), Cu at (0.001, 0.500, 0.001), Cl at (0.000, 0.233, 0.500), Cl at (0.105, 0.000, 0.280), Cl at (0.187, 0.363, 0.073), Cl at (0.313, 0.137, 0.928) and Cl at (0.395, 0.500, 0.720).

Its uncorrected formation energy is -135.5 kJ/mol of atoms. The value obtained for the electronic total energy is -120.390 eV for the cell shown. The energy above the most stable polymorph in this dataset is 0.000 eV/atom.

Entry 5:
VASP calculation (PBE-GGA) on an optimized crystal structure of Sm2Cd3Hg.

The space group is Pmm2 (No. 25) and the conventional cell measures 3.465, 5.048 and 8.679 Å, with angles of 90.00, 90.00 and 90.00 degrees. The inequivalent atoms are Sm at (0.000, 0.000, 0.000), Sm at (0.000, 0.500, 0.490), Cd at (0.500, 0.000, 0.665), Cd at (0.500, 0.500, 0.158), Cd at (0.500, 0.500, 0.825) and Hg at (0.500, 0.000, 0.330).

As for the calculated formation energy: -0.365 eV/atom. The value obtained for the electronic total energy is -14.678 eV for the cell shown.

Entry 6:
VASP calculation (PBE-GGA) on an optimized crystal structure of Pa2CoRu.

The space group is P4/mmm (No. 123) and the conventional cell measures 3.376, 3.376 and 6.673 Å, with angles of 90.00, 90.00 and 90.00 degrees. The inequivalent atoms are Pa at (0.000, 0.000, 0.236), Co at (0.500, 0.500, 0.000) and Ru at (0.500, 0.500, 0.500).

As for the calculated formation energy: -0.234 eV/atom. The value obtained for the electronic total energy is -36.308 eV for the cell shown.

Entry 7:
VASP calculation (PBE-GGA) on an optimized crystal structure of InHgPd.

The space group is R3m (No. 160, hexagonal axes) and the conventional cell measures 3.3377, 3.3377 and 19.7592 Å, with angles of 90.00, 90.00 and 120.00 degrees. The inequivalent atoms are In at (0.0000, 0.0000, 0.0000), Hg at (0.0000, 0.0000, 0.2057) and Pd at (0.0000, 0.0000, 0.7654).

As for the calculated formation energy: -0.136 eV/atom. The value obtained for the electronic total energy is -25.922 eV for the cell shown.

Entry 8:
VASP calculation (PBE-GGA) on an optimized crystal structure of Ti5NbRh6.

The space group is Immm (No. 71) and the conventional cell measures 4.215, 7.021 and 12.247 Å, with angles of 90.00, 90.00 and 90.00 degrees. The inequivalent atoms are Ti at (0.000, 0.000, 0.000), Ti at (0.000, 0.000, 0.357), Ti at (0.000, 0.500, 0.313), Nb at (0.000, 0.500, 0.000), Rh at (0.000, 0.225, 0.168) and Rh at (0.000, 0.288, 0.500).

As for the calculated formation energy: -0.737 eV/atom. The value obtained for the electronic total energy is -204.984 eV for the cell shown.